No. 1
! PBE-GGA Dy2HoTmSe6, optimized geometry; values from VASP
&SYSTEM
  ibrav = 0, nat = 10, ntyp = 4
/
ATOMIC_SPECIES
Dy 162.50 Dy.upf
Ho 164.93 Ho.upf
Se 78.96 Se.upf
Tm 168.93 Tm.upf
ATOMIC_POSITIONS crystal
Dy 0.515 0.515 0.456
Dy 0.014 0.014 0.957
Ho 0.819 0.819 0.544
Se 0.110 0.419 0.753
Se 0.419 0.718 0.753
Se 0.718 0.110 0.753
Se 0.922 0.606 0.252
Se 0.606 0.219 0.252
Se 0.219 0.922 0.252
Tm 0.320 0.319 0.041
CELL_PARAMETERS angstrom
7.169 0.000 0.000
3.585 6.209 0.000
3.585 2.070 6.461
! * ΔE_f (raw): -1848 meV per atom

=====

No. 2
! PBE-GGA DyHoTm2Se6, optimized geometry; values from VASP
&SYSTEM
  ibrav = 0, nat = 10, ntyp = 4
/
ATOMIC_SPECIES
Se 78.96 Se.upf
Tm 168.93 Tm.upf
Dy 162.50 Dy.upf
Ho 164.93 Ho.upf
ATOMIC_POSITIONS crystal
Se 0.725 0.115 0.750
Se 0.226 0.912 0.250
Se 0.912 0.613 0.250
Se 0.115 0.410 0.750
Se 0.410 0.725 0.750
Se 0.613 0.226 0.250
Tm 0.513 0.513 0.461
Tm 0.013 0.013 0.962
Dy 0.818 0.818 0.547
Ho 0.318 0.318 0.045
CELL_PARAMETERS angstrom
-0.967 6.260 3.303
-6.429 3.113 -0.056
-4.016 0.020 6.513
! * ΔE_f (raw): -1844 meV per atom

=====

The lowest ΔE_f (raw) belongs to which entry?
Dy2HoTmSe6